Below is Sc2InSi2 after structural relaxation, with properties calculated at the PBE level.

abc: 3.494 3.494 8.735
angles: 78.46 78.46 90.00
Fractional positions:
Sc  0.381  0.381  0.238
Sc  0.619  0.619  0.762
Si  0.750  0.250  0.500
Si  0.250  0.750  0.500
In  0.000  0.000  0.000

Properties
Space-group type   I4/mmm, No. 139
V   102.3 Å³/f.u.
Total DFT energy (no corrections)   -5.637 eV per atom